No. 1
Compound: MnAgOs2
Source: Alexandria via LeMat-Bulk
Functional: PBE
Structure: optimized geometry

Summary:
Total magnetization: 2.6 μB per formula unit
E above lowest polymorph: 460 meV/atom
Volume: 58.3 Å³/f.u.
ΔE_f: 0.7512 eV per atom
Total DFT energy (no corrections): -7.869 eV/atom
Density of states at the Fermi level: 4.13 states/eV/cell

Unit cell a=4.353 b=4.353 c=4.353 alpha=60.00 beta=60.00 gamma=60.00
Site moments in Bohr magnetons follow the coordinates.
Atoms (fractional coordinates):
Mn1 0.000 0.000 0.000  2.70
Os1 0.250 0.250 0.250  -0.09
Os2 0.750 0.750 0.750  -0.09
Ag1 0.500 0.500 0.500  0.00

No. 2
Compound: MnAgOs2
Source: Alexandria via LeMat-Bulk
Functional: PBE
Structure: optimized geometry

Summary:
Total magnetization: 1.5 μB per formula unit
E above lowest polymorph: 244 meV/atom
Volume: 58.8 Å³/f.u.
ΔE_f: 0.5353 eV per atom
Total DFT energy (no corrections): -8.085 eV/atom
Density of states at the Fermi level: 5.10 states/eV/cell

Unit cell a=2.705 b=3.682 c=5.904 alpha=90.00 beta=90.00 gamma=90.00
Site moments in Bohr magnetons follow the coordinates.
Atoms (fractional coordinates):
Ag1 0.500 0.500 0.250  0.00
Mn1 0.500 0.500 0.750  1.70
Os1 0.000 0.000 0.960  -0.14
Os2 0.000 0.000 0.540  -0.14

No. 3
Compound: MnAg4Os
Source: Alexandria via LeMat-Bulk
Functional: PBE
Structure: optimized geometry

Summary:
Total magnetization: 4.7 μB per formula unit
Volume: 105.9 Å³/f.u.
ΔE_f: 0.8126 eV per atom
Total DFT energy (no corrections): -4.488 eV/atom
Density of states at the Fermi level: 2.19 states/eV/cell

Unit cell a=5.310 b=5.310 c=5.310 alpha=60.00 beta=60.00 gamma=60.00
Site moments in Bohr magnetons follow the coordinates.
Atoms (fractional coordinates):
Mn1 0.750 0.750 0.750  4.12
Ag1 0.875 0.375 0.375  0.01
Ag2 0.375 0.375 0.875  0.01
Ag3 0.375 0.875 0.375  0.01
Ag4 0.375 0.375 0.375  0.01
Os1 0.000 0.000 0.000  0.27

No. 4
Compound: MnAgOs2
Source: Alexandria via LeMat-Bulk
Functional: PBE
Structure: optimized geometry

Summary:
Total magnetization: 0.8 μB per formula unit
E above lowest polymorph: 0 meV/atom
Volume: 57.6 Å³/f.u.
ΔE_f: 0.2916 eV per atom
Total DFT energy (no corrections): -8.328 eV/atom
Density of states at the Fermi level: 2.68 states/eV/cell

Unit cell a=9.249 b=9.249 c=9.249 alpha=16.79 beta=16.79 gamma=16.79
Site moments in Bohr magnetons follow the coordinates.
Atoms (fractional coordinates):
Ag1 0.250 0.250 0.250  0.00
Mn1 0.750 0.750 0.750  0.90
Os1 0.009 0.009 0.009  -0.09
Os2 0.491 0.491 0.491  -0.09

No. 5
Compound: MnAgOs2
Source: Alexandria via LeMat-Bulk
Functional: PBE
Structure: optimized geometry

Summary:
Total magnetization: 2.6 μB per formula unit
E above lowest polymorph: 136 meV/atom
Volume: 60.0 Å³/f.u.
ΔE_f: 0.4281 eV per atom
Total DFT energy (no corrections): -8.192 eV/atom
Density of states at the Fermi level: 3.12 states/eV/cell

Unit cell a=5.493 b=5.493 c=5.493 alpha=150.73 beta=131.80 gamma=57.40
Site moments in Bohr magnetons follow the coordinates.
Atoms (fractional coordinates):
Ag1 0.750 0.250 0.500  0.05
Mn1 0.250 0.750 0.500  2.87
Os1 0.031 0.031 0.000  -0.21
Os2 0.469 0.469 0.000  -0.21

No. 6
Compound: MnAgOs2
Source: Alexandria via LeMat-Bulk
Functional: PBE
Structure: optimized geometry

Summary:
Total magnetization: 2.6 μB per formula unit
E above lowest polymorph: 353 meV/atom
Volume: 58.7 Å³/f.u.
ΔE_f: 0.6448 eV per atom
Total DFT energy (no corrections): -7.975 eV/atom
Density of states at the Fermi level: 4.00 states/eV/cell

Unit cell a=4.777 b=4.777 c=2.766 alpha=90.00 beta=90.00 gamma=111.51
Site moments in Bohr magnetons follow the coordinates.
Atoms (fractional coordinates):
Ag1 0.500 0.000 0.500  0.01
Mn1 0.000 0.500 0.500  2.97
Os1 0.000 0.000 0.000  -0.23
Os2 0.500 0.500 0.000  -0.23

No. 7
Compound: MnAgOs2
Source: Alexandria via LeMat-Bulk
Functional: PBE
Structure: optimized geometry

Summary:
Total magnetization: 3.3 μB per formula unit
E above lowest polymorph: 162 meV/atom
Volume: 59.7 Å³/f.u.
ΔE_f: 0.4538 eV per atom
Total DFT energy (no corrections): -8.166 eV/atom
Density of states at the Fermi level: 3.00 states/eV/cell

Unit cell a=4.743 b=4.743 c=4.821 alpha=80.35 beta=80.35 gamma=33.98
Site moments in Bohr magnetons follow the coordinates.
Atoms (fractional coordinates):
Ag1 0.501 0.501 0.482  0.04
Mn1 0.256 0.256 0.253  3.29
Os1 0.000 0.000 0.976  0.04
Os2 0.743 0.743 0.790  -0.20

No. 8
Compound: MnAgOs2
Source: Alexandria via LeMat-Bulk
Functional: PBE
Structure: optimized geometry

Summary:
Total magnetization: 2.5 μB per formula unit
E above lowest polymorph: 67 meV/atom
Volume: 59.7 Å³/f.u.
ΔE_f: 0.3587 eV per atom
Total DFT energy (no corrections): -8.261 eV/atom
Density of states at the Fermi level: 4.13 states/eV/cell

Unit cell a=9.221 b=9.221 c=9.221 alpha=17.18 beta=17.18 gamma=17.18
Site moments in Bohr magnetons follow the coordinates.
Atoms (fractional coordinates):
Ag1 0.498 0.498 0.498  0.00
Mn1 0.746 0.746 0.746  3.01
Os1 0.000 0.000 0.000  -0.30
Os2 0.256 0.256 0.256  -0.24